# 1
Entry from Alexandria via LeMat-Bulk: a PBEsol-optimized structure of Ho3FeB7 (SCAN). Values from VASP.

```
&SYSTEM
  ibrav = 0, nat = 22, ntyp = 3
/
ATOMIC_SPECIES
B 10.81 B.upf
Ho 164.93 Ho.upf
Fe 55.84 Fe.upf
CELL_PARAMETERS angstrom
3.3617 0.0000 0.0000
-1.6809 7.7459 0.0000
0.0000 0.0000 9.1940
ATOMIC_POSITIONS crystal
B 0.5413 0.0827 0.2500
B 0.5214 0.0428 0.5981
B 0.4786 0.9572 0.4019
B 0.6301 0.2603 0.6530
B 0.4786 0.9572 0.0981
B 0.3699 0.7397 0.3470
B 0.7276 0.4552 0.9674
B 0.3699 0.7397 0.1530
B 0.6301 0.2603 0.8470
B 0.4587 0.9173 0.7500
B 0.5214 0.0428 0.9019
B 0.7276 0.4552 0.5326
B 0.2724 0.5448 0.0326
B 0.2724 0.5448 0.4674
Ho 0.2430 0.4860 0.7500
Ho 0.8951 0.7902 0.5602
Ho 0.1049 0.2098 0.0602
Ho 0.1049 0.2098 0.4398
Ho 0.8951 0.7902 0.9398
Ho 0.7570 0.5140 0.2500
Fe 0.0538 0.1075 0.7500
Fe 0.9462 0.8925 0.2500
```

The calculation puts the formation energy at -664 meV per atom. The total DFT energy (no corrections) comes out at -20.401 eV/atom.

# 2
Entry from Alexandria via LeMat-Bulk: a PBEsol-optimized structure of HoFeB4 (SCAN). Values from VASP.

```
&SYSTEM
  ibrav = 0, nat = 24, ntyp = 3
/
ATOMIC_SPECIES
B 10.81 B.upf
Fe 55.84 Fe.upf
Ho 164.93 Ho.upf
CELL_PARAMETERS angstrom
3.3115 0.0000 0.0000
0.0000 5.8402 0.0000
0.0000 0.0000 11.3028
ATOMIC_POSITIONS crystal
B 0.0000 0.8884 0.9539
B 0.0000 0.4756 0.6906
B 0.0000 0.1387 0.4680
B 0.0000 0.3613 0.9680
B 0.0000 0.8613 0.5320
B 0.0000 0.2179 0.3162
B 0.0000 0.0244 0.1906
B 0.0000 0.2821 0.8162
B 0.0000 0.3884 0.5461
B 0.0000 0.7821 0.6838
B 0.0000 0.9756 0.8094
B 0.0000 0.1116 0.0461
B 0.0000 0.6116 0.4539
B 0.0000 0.5244 0.3094
B 0.0000 0.6387 0.0320
B 0.0000 0.7179 0.1838
Fe 0.5000 0.1324 0.9118
Fe 0.5000 0.3676 0.4118
Fe 0.5000 0.6324 0.5882
Fe 0.5000 0.8676 0.0882
Ho 0.5000 0.6268 0.8497
Ho 0.5000 0.8732 0.3497
Ho 0.5000 0.3732 0.1503
Ho 0.5000 0.1268 0.6503
```

The calculation puts the formation energy at -646 meV per atom. The total DFT energy (no corrections) comes out at -16.785 eV/atom.